CoF3: relaxed, GGA+U.

The structure in extended XYZ format:
```
8
Lattice="5.0131 0.0000 0.0000 0.0000 5.0131 0.0000 2.5065 2.5065 5.1851" Properties=species:S:1:pos:R:3 pbc="T T T"
Co 0.0000 0.0000 0.0000
Co 5.0131 2.5065 2.5925
F 2.5065 2.5065 0.0000
F 2.5065 5.0131 2.5925
F 4.5093 1.2533 1.2963
F 5.5168 3.7598 1.2963
F 3.7598 3.0103 3.8888
F 6.2664 2.0028 3.8888
```

energy	-3.98	eV/atom